Record 1
# Ti12Al6Zn GGA-PBE relaxed
data_Ti12Al6Zn
_chemical_formula_sum 'Ti36 Al18 Zn3'
_symmetry_space_group_name_H-M 'R -3'
_symmetry_Int_Tables_number 148
_symmetry_space_group_name_Hall '-R 3'
_cell_length_a 9.5797
_cell_length_b 9.5797
_cell_length_c 11.8845
_cell_angle_alpha 90.00
_cell_angle_beta 90.00
_cell_angle_gamma 120.00
loop_
_atom_site_label
_atom_site_fract_x
_atom_site_fract_y
_atom_site_fract_z
Ti1 0.0477 0.1858 0.3028
Ti2 0.0663 0.8513 0.9125
Al1 0.0332 0.4420 0.2093
Zn1 0.0000 0.0000 0.5000
# magnetization = 0.04 μB/cell
# energy of formation = -207 meV per atom
# V = 944.5 Å³/cell
# theoretical density = 4.228 Mg/m³

***

Record 2
# Ti4AlZn5 GGA-PBE relaxed
data_Ti4AlZn5
_chemical_formula_sum 'Ti8 Al2 Zn10'
_symmetry_space_group_name_H-M 'C 1 2/m 1'
_symmetry_Int_Tables_number 12
_cell_length_a 14.416
_cell_length_b 3.935
_cell_length_c 5.605
_cell_angle_alpha 90.00
_cell_angle_beta 102.75
_cell_angle_gamma 90.00
loop_
_symmetry_equiv_pos_as_xyz
'x,y,z'
'-x,-y,-z'
'-x,y,-z'
'x,-y,z'
'x+1/2,y+1/2,z'
'-x+1/2,-y+1/2,-z'
'-x+1/2,y+1/2,-z'
'x+1/2,-y+1/2,z'
loop_
_atom_site_label
_atom_site_fract_x
_atom_site_fract_y
_atom_site_fract_z
Ti1 0.101 0.000 0.295
Ti2 0.205 0.500 0.107
Al1 0.000 0.500 0.000
Zn1 0.000 0.500 0.500
Zn2 0.099 0.000 0.798
Zn3 0.199 0.500 0.598
# magnetization = 2.05 μB/cell
# energy of formation = -203 meV per atom
# V = 310.1 Å³/cell
# theoretical density = 5.842 Mg/m³

***

Record 3
# Ti2Al8Zn GGA-PBE relaxed
data_Ti2Al8Zn
_chemical_formula_sum 'Ti4 Al16 Zn2'
_symmetry_space_group_name_H-M 'C 1 2/m 1'
_symmetry_Int_Tables_number 12
_cell_length_a 14.074
_cell_length_b 5.304
_cell_length_c 5.228
_cell_angle_alpha 90.00
_cell_angle_beta 101.26
_cell_angle_gamma 90.00
loop_
_symmetry_equiv_pos_as_xyz
'x,y,z'
'-x,-y,-z'
'-x,y,-z'
'x,-y,z'
'x+1/2,y+1/2,z'
'-x+1/2,-y+1/2,-z'
'-x+1/2,y+1/2,-z'
'x+1/2,-y+1/2,z'
loop_
_atom_site_label
_atom_site_fract_x
_atom_site_fract_y
_atom_site_fract_z
Ti1 0.249 0.000 0.316
Al1 0.087 0.248 0.419
Al2 0.090 0.000 0.912
Al3 0.216 0.500 0.168
Zn1 0.000 0.500 0.000
# magnetization = 0.00 μB/cell
# energy of formation = -7 meV per atom
# V = 382.8 Å³/cell
# theoretical density = 3.271 Mg/m³

***

Record 4
# Ti4Al4Zn GGA-PBE relaxed
data_Ti4Al4Zn
_chemical_formula_sum 'Ti8 Al8 Zn2'
_symmetry_space_group_name_H-M 'I 4/m m m'
_symmetry_Int_Tables_number 139
_symmetry_space_group_name_Hall '-I 4 2'
_cell_length_a 8.759
_cell_length_b 8.759
_cell_length_c 3.775
_cell_angle_alpha 90.00
_cell_angle_beta 90.00
_cell_angle_gamma 90.00
loop_
_atom_site_label
_atom_site_fract_x
_atom_site_fract_y
_atom_site_fract_z
Ti1 0.000 0.327 0.000
Al1 0.169 0.169 0.500
Zn1 0.000 0.000 0.000
# magnetization = 0.00 μB/cell
# energy of formation = -333 meV per atom
# V = 289.6 Å³/cell
# theoretical density = 4.183 Mg/m³

***

Record 5
# Ti2Al3Zn3 GGA-PBE relaxed
data_Ti2Al3Zn3
_chemical_formula_sum 'Ti2 Al3 Zn3'
_symmetry_space_group_name_H-M 'P m m m'
_symmetry_Int_Tables_number 47
_cell_length_a 3.939
_cell_length_b 3.975
_cell_length_c 7.789
_cell_angle_alpha 90.00
_cell_angle_beta 90.00
_cell_angle_gamma 90.00
loop_
_symmetry_equiv_pos_as_xyz
'x,y,z'
'-x,-y,-z'
'-x,-y,z'
'x,y,-z'
'x,-y,-z'
'-x,y,z'
'-x,y,-z'
'x,-y,z'
loop_
_atom_site_label
_atom_site_fract_x
_atom_site_fract_y
_atom_site_fract_z
Ti1 0.000 0.000 0.247
Al1 0.000 0.500 0.000
Al2 0.500 0.000 0.000
Al3 0.500 0.000 0.500
Zn1 0.000 0.500 0.500
Zn2 0.500 0.500 0.252
# magnetization = 0.00 μB/cell
# energy of formation = -357 meV per atom
# V = 121.9 Å³/cell
# theoretical density = 5.078 Mg/m³

***

Record 6
# Ti9AlZn2 GGA-PBE relaxed
data_Ti9AlZn2
_chemical_formula_sum 'Ti9 Al1 Zn2'
_symmetry_space_group_name_H-M 'P 4/m m m'
_symmetry_Int_Tables_number 123
_symmetry_space_group_name_Hall '-P 4 2'
_cell_length_a 4.025
_cell_length_b 4.025
_cell_length_c 12.073
_cell_angle_alpha 90.00
_cell_angle_beta 90.00
_cell_angle_gamma 90.00
loop_
_atom_site_label
_atom_site_fract_x
_atom_site_fract_y
_atom_site_fract_z
Ti1 0.000 0.000 0.000
Ti2 0.000 0.000 0.335
Ti3 0.000 0.500 0.167
Ti4 0.000 0.500 0.500
Al1 0.500 0.500 0.000
Zn1 0.500 0.500 0.334
# magnetization = 0.00 μB/cell
# energy of formation = -161 meV per atom
# V = 195.6 Å³/cell
# theoretical density = 4.997 Mg/m³

***

Record 7
# Ti7Al2Zn2 GGA-PBE relaxed
data_Ti7Al2Zn2
_chemical_formula_sum 'Ti14 Al4 Zn4'
_symmetry_space_group_name_H-M 'C m m m'
_symmetry_Int_Tables_number 65
_symmetry_space_group_name_Hall '-C 2 2'
_cell_length_a 6.590
_cell_length_b 9.437
_cell_length_c 6.498
_cell_angle_alpha 90.00
_cell_angle_beta 90.00
_cell_angle_gamma 90.00
loop_
_atom_site_label
_atom_site_fract_x
_atom_site_fract_y
_atom_site_fract_z
Ti1 0.000 0.000 0.000
Ti2 0.000 0.500 0.262
Ti3 0.250 0.250 0.297
Al1 0.181 0.000 0.500
Zn1 0.000 0.289 0.000
# magnetization = 3.78 μB/cell
# energy of formation = 277 meV per atom
# V = 404.1 Å³/cell
# theoretical density = 4.272 Mg/m³

***

Record 8
# Ti5Al3Zn3 GGA-PBE relaxed
data_Ti5Al3Zn3
_chemical_formula_sum 'Ti5 Al3 Zn3'
_symmetry_space_group_name_H-M 'P 1 m 1'
_symmetry_Int_Tables_number 6
_cell_length_a 8.065
_cell_length_b 2.745
_cell_length_c 9.150
_cell_angle_alpha 90.00
_cell_angle_beta 113.01
_cell_angle_gamma 90.00
loop_
_symmetry_equiv_pos_as_xyz
'x,y,z'
'x,-y,z'
loop_
_atom_site_label
_atom_site_fract_x
_atom_site_fract_y
_atom_site_fract_z
Ti1 0.000 0.000 0.000
Ti2 0.048 0.000 0.337
Ti3 0.201 0.000 0.703
Ti4 0.390 0.000 0.021
Ti5 0.619 0.000 0.325
Al1 0.288 0.500 0.236
Al2 0.744 0.500 0.113
Al3 0.909 0.500 0.516
Zn1 0.414 0.000 0.524
Zn2 0.581 0.000 0.834
Zn3 0.772 0.000 0.678
# magnetization = 0.68 μB/cell
# energy of formation = -2 meV per atom
# V = 186.5 Å³/cell
# theoretical density = 4.600 Mg/m³

***

Record 9
# Ti8Al2Zn3 GGA-PBE relaxed
data_Ti8Al2Zn3
_chemical_formula_sum 'Ti16 Al4 Zn6'
_symmetry_space_group_name_H-M 'C m m m'
_symmetry_Int_Tables_number 65
_symmetry_space_group_name_Hall '-C 2 2'
_cell_length_a 6.894
_cell_length_b 14.133
_cell_length_c 4.619
_cell_angle_alpha 90.00
_cell_angle_beta 90.00
_cell_angle_gamma 90.00
loop_
_atom_site_label
_atom_site_fract_x
_atom_site_fract_y
_atom_site_fract_z
Ti1 0.000 0.107 0.000
Ti2 0.000 0.308 0.000
Ti3 0.190 0.390 0.500
Al1 0.000 0.220 0.500
Zn1 0.000 0.000 0.500
Zn2 0.176 0.500 0.000
# magnetization = 0.01 μB/cell
# energy of formation = 83 meV per atom
# V = 450.0 Å³/cell
# theoretical density = 4.673 Mg/m³

***

Record 10
# TiAl3Zn GGA-PBE relaxed
data_TiAl3Zn
_chemical_formula_sum 'Ti4 Al12 Zn4'
_symmetry_space_group_name_H-M 'P 21 3'
_symmetry_Int_Tables_number 198
_symmetry_space_group_name_Hall 'P 2ac 2ab 3'
_cell_length_a 6.898
_cell_length_b 6.898
_cell_length_c 6.898
_cell_angle_alpha 90.00
_cell_angle_beta 90.00
_cell_angle_gamma 90.00
loop_
_atom_site_label
_atom_site_fract_x
_atom_site_fract_y
_atom_site_fract_z
Ti1 0.190 0.190 0.190
Al1 0.048 0.125 0.806
Zn1 0.041 0.959 0.459
# magnetization = 0.00 μB/cell
# energy of formation = -65 meV per atom
# V = 328.3 Å³/cell
# theoretical density = 3.930 Mg/m³

***

Record 11
# Ti2AlZn4 GGA-PBE relaxed
data_Ti2AlZn4
_chemical_formula_sum 'Ti8 Al4 Zn16'
_symmetry_space_group_name_H-M 'C m c e'
_symmetry_Int_Tables_number 64
_symmetry_space_group_name_Hall '-C 2ac 2'
_cell_length_a 9.055
_cell_length_b 4.890
_cell_length_c 10.389
_cell_angle_alpha 90.00
_cell_angle_beta 90.00
_cell_angle_gamma 90.00
loop_
_atom_site_label
_atom_site_fract_x
_atom_site_fract_y
_atom_site_fract_z
Ti1 0.192 0.000 0.000
Al1 0.000 0.000 0.500
Zn1 0.000 0.005 0.194
Zn2 0.250 0.247 0.750
# magnetization = 0.00 μB/cell
# energy of formation = 37 meV per atom
# V = 460.0 Å³/cell
# theoretical density = 5.550 Mg/m³

***

Record 12
# TiAlZn6 GGA-PBE relaxed
data_TiAlZn6
_chemical_formula_sum 'Ti2 Al2 Zn12'
_symmetry_space_group_name_H-M 'C m m m'
_symmetry_Int_Tables_number 65
_symmetry_space_group_name_Hall '-C 2 2'
_cell_length_a 6.612
_cell_length_b 8.847
_cell_length_c 4.198
_cell_angle_alpha 90.00
_cell_angle_beta 90.00
_cell_angle_gamma 90.00
loop_
_atom_site_label
_atom_site_fract_x
_atom_site_fract_y
_atom_site_fract_z
Ti1 0.000 0.000 0.000
Al1 0.000 0.500 0.000
Zn1 0.000 0.216 0.500
Zn2 0.221 0.500 0.500
Zn3 0.250 0.250 0.000
# magnetization = 0.00 μB/cell
# energy of formation = -63 meV per atom
# V = 245.6 Å³/cell
# theoretical density = 6.320 Mg/m³

***

Repeat the fifth record exactly.
# Ti2Al3Zn3 GGA-PBE relaxed
data_Ti2Al3Zn3
_chemical_formula_sum 'Ti2 Al3 Zn3'
_symmetry_space_group_name_H-M 'P m m m'
_symmetry_Int_Tables_number 47
_cell_length_a 3.939
_cell_length_b 3.975
_cell_length_c 7.789
_cell_angle_alpha 90.00
_cell_angle_beta 90.00
_cell_angle_gamma 90.00
loop_
_symmetry_equiv_pos_as_xyz
'x,y,z'
'-x,-y,-z'
'-x,-y,z'
'x,y,-z'
'x,-y,-z'
'-x,y,z'
'-x,y,-z'
'x,-y,z'
loop_
_atom_site_label
_atom_site_fract_x
_atom_site_fract_y
_atom_site_fract_z
Ti1 0.000 0.000 0.247
Al1 0.000 0.500 0.000
Al2 0.500 0.000 0.000
Al3 0.500 0.000 0.500
Zn1 0.000 0.500 0.500
Zn2 0.500 0.500 0.252
# magnetization = 0.00 μB/cell
# energy of formation = -357 meV per atom
# V = 121.9 Å³/cell
# theoretical density = 5.078 Mg/m³

***

Please write out number 6 again, unchanged.
# Ti9AlZn2 GGA-PBE relaxed
data_Ti9AlZn2
_chemical_formula_sum 'Ti9 Al1 Zn2'
_symmetry_space_group_name_H-M 'P 4/m m m'
_symmetry_Int_Tables_number 123
_symmetry_space_group_name_Hall '-P 4 2'
_cell_length_a 4.025
_cell_length_b 4.025
_cell_length_c 12.073
_cell_angle_alpha 90.00
_cell_angle_beta 90.00
_cell_angle_gamma 90.00
loop_
_atom_site_label
_atom_site_fract_x
_atom_site_fract_y
_atom_site_fract_z
Ti1 0.000 0.000 0.000
Ti2 0.000 0.000 0.335
Ti3 0.000 0.500 0.167
Ti4 0.000 0.500 0.500
Al1 0.500 0.500 0.000
Zn1 0.500 0.500 0.334
# magnetization = 0.00 μB/cell
# energy of formation = -161 meV per atom
# V = 195.6 Å³/cell
# theoretical density = 4.997 Mg/m³

***

> magnetization of number 2 (Ti4AlZn5)?

2.05 μB/cell

***

> What is the theoretical density in the seventh record?

4.272 Mg/m³